Density functional theory data (GGA-PBEsol) for crystalline SbMo2Cl at its relaxed geometry.

Computed properties:
ΔE_f (raw) in eV per atom: 0.51
Space-group type: P4/mmm
Magnetic moment in Bohr magnetons per cell: 0.001
Energy relative to the lowest polymorph listed for this composition in eV/atom: 0.609

Lattice parameters (Å, degrees): 3.1713 3.1713 6.3813 90.00 90.00 90.00
Atoms (fractional coordinates):
Cl (0.5000, 0.5000, 0.5000)
Mo (0.0000, 0.0000, 0.7372)
Mo (0.0000, 0.0000, 0.2628)
Sb (0.5000, 0.5000, 0.0000)

***

Density functional theory data (GGA-PBEsol) for crystalline ScCd2Cu at its relaxed geometry.

Computed properties:
Space-group type: R-3m
ΔH_f (0 K) in eV per formula unit: 0.175
Magnetic moment in Bohr magnetons per cell: 0.000

Lattice parameters (Å, degrees): 3.1348 3.1348 9.1419 80.13 80.13 60.00
Atoms (fractional coordinates):
Cd (0.7586, 0.7586, 0.7241)
Cd (0.2414, 0.2414, 0.2759)
Cu (0.5000, 0.5000, 0.5000)
Sc (0.0000, 0.0000, 0.0000)

***

Density functional theory data (GGA-PBEsol) for crystalline Y2BeCr at its relaxed geometry.

Computed properties:
Space-group type: R3m
ΔH_f (0 K) in eV per formula unit: 1.169
Magnetic moment in Bohr magnetons per cell: 2.149

Lattice parameters (Å, degrees): 3.9465 3.9465 6.9363 73.47 73.47 60.00
Site moments in Bohr magnetons follow the coordinates.
Atoms (fractional coordinates):
Y (0.7827, 0.7827, 0.6518)  -0.10
Y (0.9668, 0.9668, 0.0995)  -0.04
Cr (0.2079, 0.2079, 0.3763)  2.43
Be (0.5426, 0.5426, 0.3723)  -0.09

***

Density functional theory data (GGA-PBEsol) for crystalline ZnRe2Se at its relaxed geometry.

Computed properties:
ΔE_f (raw) in eV per atom: 0.68
Space-group type: Pmmm
Magnetic moment in Bohr magnetons per cell: 0.000
Energy relative to the lowest polymorph listed for this composition in eV/atom: 0.253

Lattice parameters (Å, degrees): 2.9345 4.4953 4.5763 90.00 90.00 90.00
Atoms (fractional coordinates):
Re (0.0000, 0.0000, 0.0000)
Re (0.5000, 0.0000, 0.5000)
Se (0.5000, 0.5000, 0.0000)
Zn (0.0000, 0.5000, 0.5000)

***

Density functional theory data (GGA-PBEsol) for crystalline LaPOs at its relaxed geometry.

Computed properties:
Space-group type: F-43m
ΔH_f (0 K) in eV per formula unit: 0.037
Magnetic moment in Bohr magnetons per cell: 0.000

Lattice parameters (Å, degrees): 4.4678 4.4678 4.4678 60.00 60.00 60.00
Atoms (fractional coordinates):
Os (0.2500, 0.2500, 0.2500)
P (0.0000, 0.0000, 0.0000)
La (0.5000, 0.5000, 0.5000)

***

Density functional theory data (GGA-PBEsol) for crystalline Ag3GeN at its relaxed geometry.

Computed properties:
ΔE_f (raw) in eV per atom: 1.53
Space-group type: Pm-3m
Magnetic moment in Bohr magnetons per cell: 2.931

Lattice parameters (Å, degrees): 4.8480 4.8480 4.8480 90.00 90.00 90.00
Site moments in Bohr magnetons follow the coordinates.
Atoms (fractional coordinates):
Ag (0.5000, 0.0000, 0.0000)  0.07
Ag (0.0000, 0.0000, 0.5000)  0.07
Ag (0.0000, 0.5000, 0.0000)  0.07
Ge (0.0000, 0.0000, 0.0000)  0.07
N (0.5000, 0.5000, 0.5000)  1.73

***

Density functional theory data (GGA-PBEsol) for crystalline LaReRu2 at its relaxed geometry.

Computed properties:
Space-group type: Fm-3m
ΔH_f (0 K) in eV per formula unit: 2.192
Magnetic moment in Bohr magnetons per cell: 0.009
Energy relative to the lowest polymorph listed for this composition in eV/atom: 0.141

Lattice parameters (Å, degrees): 4.5785 4.5785 4.5785 60.00 60.00 60.00
Atoms (fractional coordinates):
La (0.0000, 0.0000, 0.0000)
Re (0.5000, 0.5000, 0.5000)
Ru (0.7500, 0.7500, 0.7500)
Ru (0.2500, 0.2500, 0.2500)

***

Density functional theory data (GGA-PBEsol) for crystalline La2Sc at its relaxed geometry.

Computed properties:
Space-group type: P-6m2
ΔH_f (0 K) in eV per formula unit: 0.255
Magnetic moment in Bohr magnetons per cell: 0.000
Energy relative to the lowest polymorph listed for this composition in eV/atom: 0.043

Lattice parameters (Å, degrees): 3.4961 3.4961 17.1399 90.00 90.00 120.00
Atoms (fractional coordinates):
La (0.0000, 0.0000, 0.8181)
La (0.3333, 0.6667, 0.0000)
La (0.0000, 0.0000, 0.5000)
La (0.0000, 0.0000, 0.1819)
Sc (0.3333, 0.6667, 0.3390)
Sc (0.3333, 0.6667, 0.6610)

***

Density functional theory data (GGA-PBEsol) for crystalline HgPb2Au at its relaxed geometry.

Computed properties:
Space-group type: P4/mmm
ΔH_f (0 K) in eV per formula unit: 0.124
Magnetic moment in Bohr magnetons per cell: 0.000
Energy relative to the lowest polymorph listed for this composition in eV/atom: 0.042

Lattice parameters (Å, degrees): 3.6540 5.1523 5.1548 90.00 90.00 90.00
Atoms (fractional coordinates):
Au (0.5000, 0.0000, 0.5000)
Pb (0.0000, 0.0000, 0.0000)
Pb (0.0000, 0.5000, 0.5000)
Hg (0.5000, 0.5000, 0.0000)

***

Density functional theory data (GGA-PBEsol) for crystalline CuSn4S8 at its relaxed geometry.

Computed properties:
ΔE_f (raw) in eV per atom: -0.40
Space-group type: F-43m
Magnetic moment in Bohr magnetons per cell: 0.000

Lattice parameters (Å, degrees): 7.3643 7.3643 7.3643 60.00 60.00 60.00
Atoms (fractional coordinates):
S (0.6262, 0.1213, 0.6262)
S (0.1255, 0.6236, 0.1255)
S (0.6236, 0.1255, 0.1255)
S (0.6262, 0.6262, 0.6262)
S (0.1213, 0.6262, 0.6262)
S (0.1255, 0.1255, 0.1255)
S (0.1255, 0.1255, 0.6236)
S (0.6262, 0.6262, 0.1213)
Cu (0.5000, 0.5000, 0.5000)
Sn (0.3651, 0.8783, 0.8783)
Sn (0.8783, 0.8783, 0.8783)
Sn (0.8783, 0.8783, 0.3651)
Sn (0.8783, 0.3651, 0.8783)

***

Density functional theory data (GGA-PBEsol) for crystalline Al2CuSi at its relaxed geometry.

Computed properties:
ΔE_f (raw) in eV per atom: 0.27
Space-group type: P-6m2
Magnetic moment in Bohr magnetons per cell: 0.000

Lattice parameters (Å, degrees): 2.6993 2.6993 9.5498 90.00 90.00 120.00
Atoms (fractional coordinates):
Al (0.3333, 0.6667, 0.7409)
Al (0.3333, 0.6667, 0.2591)
Si (0.0000, 0.0000, 0.5000)
Cu (0.3333, 0.6667, 0.0000)

***

Density functional theory data (GGA-PBEsol) for crystalline DyClO at its relaxed geometry.

Computed properties:
ΔE_f (raw) in eV per atom: -3.15
Space-group type: P4/nmm
Magnetic moment in Bohr magnetons per cell: 0.000

Lattice parameters (Å, degrees): 3.8511 3.8511 6.5631 90.00 90.00 90.00
Atoms (fractional coordinates):
O (0.0000, 0.0000, 0.0000)
O (0.5000, 0.5000, 0.0000)
Cl (0.5000, 0.0000, 0.3731)
Cl (0.0000, 0.5000, 0.6269)
Dy (0.0000, 0.5000, 0.1702)
Dy (0.5000, 0.0000, 0.8298)

***

Density functional theory data (GGA-PBEsol) for crystalline BP3Se at its relaxed geometry.

Computed properties:
ΔE_f (raw) in eV per atom: 2.00
Space-group type: Pm-3m
Magnetic moment in Bohr magnetons per cell: 0.002

Lattice parameters (Å, degrees): 4.6717 4.6717 4.6717 90.00 90.00 90.00
Atoms (fractional coordinates):
P (0.0000, 0.5000, 0.0000)
P (0.0000, 0.0000, 0.5000)
P (0.5000, 0.0000, 0.0000)
B (0.5000, 0.5000, 0.5000)
Se (0.0000, 0.0000, 0.0000)

***

Density functional theory data (GGA-PBEsol) for crystalline TaBeTe2 at its relaxed geometry.

Computed properties:
ΔE_f (raw) in eV per atom: 0.11
Space-group type: Cm
Magnetic moment in Bohr magnetons per cell: 0.000

Lattice parameters (Å, degrees): 3.5441 4.7348 6.1850 95.18 90.00 111.98
Atoms (fractional coordinates):
Te (0.0226, 0.0452, 0.1343)
Te (0.2672, 0.5344, 0.6531)
Be (0.4637, 0.9274, 0.3995)
Ta (0.7465, 0.4930, 0.3131)

***

Density functional theory data (GGA-PBEsol) for crystalline Cs3EuF6 at its relaxed geometry.

Computed properties:
ΔE_f (raw) in eV per atom: -3.03
Space-group type: I4/mmm
Magnetic moment in Bohr magnetons per cell: 6.000

Lattice parameters (Å, degrees): 7.1280 7.1280 7.1280 89.65 120.20 120.20
Site moments in Bohr magnetons follow the coordinates.
Atoms (fractional coordinates):
F (0.3087, 0.3087, 0.0000)  -0.03
F (0.6913, 0.0000, 0.6913)  -0.03
F (0.6913, 0.6913, 0.0000)  -0.03
F (0.0000, 0.7741, 0.7741)  -0.01
F (0.0000, 0.2259, 0.2259)  -0.01
F (0.3087, 0.0000, 0.3087)  -0.03
Cs (0.0000, 0.5000, 0.5000)  0.00
Cs (0.5000, 0.2500, 0.7500)  0.00
Cs (0.5000, 0.7500, 0.2500)  0.00
Eu (0.0000, 0.0000, 0.0000)  6.09

***

Density functional theory data (GGA-PBEsol) for crystalline CrOsN2F at its relaxed geometry.

Computed properties:
ΔE_f (raw) in eV per atom: 0.40
Space-group type: P4/mmm
Magnetic moment in Bohr magnetons per cell: 4.212

Lattice parameters (Å, degrees): 3.7935 3.7935 4.2886 90.00 90.00 90.00
Site moments in Bohr magnetons follow the coordinates.
Atoms (fractional coordinates):
Os (0.0000, 0.0000, 0.0000)  0.07
N (0.0000, 0.5000, 0.0000)  -0.15
N (0.5000, 0.0000, 0.0000)  -0.15
F (0.0000, 0.0000, 0.5000)  0.04
Cr (0.5000, 0.5000, 0.5000)  4.07

***

Density functional theory data (GGA-PBEsol) for crystalline ZrTcAs2Se at its relaxed geometry.

Computed properties:
ΔE_f (raw) in eV per atom: 0.39
Space-group type: P4/mmm
Magnetic moment in Bohr magnetons per cell: 0.048

Lattice parameters (Å, degrees): 4.6184 4.6184 5.0385 90.00 90.00 90.00
Atoms (fractional coordinates):
As (0.5000, 0.0000, 0.0000)
As (0.0000, 0.5000, 0.0000)
Se (0.0000, 0.0000, 0.5000)
Tc (0.0000, 0.0000, 0.0000)
Zr (0.5000, 0.5000, 0.5000)

***

Density functional theory data (GGA-PBEsol) for crystalline Y2CdAs at its relaxed geometry.

Computed properties:
Space-group type: P2/m
ΔH_f (0 K) in eV per formula unit: -3.118
Magnetic moment in Bohr magnetons per cell: 0.001
Energy relative to the lowest polymorph listed for this composition in eV/atom: 0.073

Lattice parameters (Å, degrees): 3.6772 3.6754 6.8022 90.00 89.90 90.00
Atoms (fractional coordinates):
Cd (0.5000, 0.5000, 0.5000)
As (0.5000, 0.5000, 0.0000)
Y (0.0008, 0.0000, 0.2309)
Y (0.9992, 0.0000, 0.7691)

***

Density functional theory data (GGA-PBEsol) for crystalline ScCoBr2 at its relaxed geometry.

Computed properties:
ΔE_f (raw) in eV per atom: -0.15
Space-group type: Fm-3m
Magnetic moment in Bohr magnetons per cell: 0.278
Energy relative to the lowest polymorph listed for this composition in eV/atom: 0.549

Lattice parameters (Å, degrees): 4.5875 4.5875 4.5875 60.00 60.00 60.00
Site moments in Bohr magnetons follow the coordinates.
Atoms (fractional coordinates):
Sc (0.0000, 0.0000, 0.0000)  -0.31
Br (0.2500, 0.2500, 0.2500)  0.01
Br (0.7500, 0.7500, 0.7500)  0.01
Co (0.5000, 0.5000, 0.5000)  0.76

***

Density functional theory data (GGA-PBEsol) for crystalline BaPtW2 at its relaxed geometry.

Computed properties:
Space-group type: Pmmm
ΔH_f (0 K) in eV per formula unit: 4.446
Magnetic moment in Bohr magnetons per cell: 0.000
Energy relative to the lowest polymorph listed for this composition in eV/atom: 0.652

Lattice parameters (Å, degrees): 2.8551 5.1594 5.3011 90.00 90.00 90.00
Atoms (fractional coordinates):
W (0.5000, 0.5000, 0.0000)
W (0.0000, 0.0000, 0.0000)
Pt (0.0000, 0.5000, 0.5000)
Ba (0.5000, 0.0000, 0.5000)

***

Density functional theory data (GGA-PBEsol) for crystalline Li3Hg at its relaxed geometry.

Computed properties:
Space-group type: Pm-3m
ΔH_f (0 K) in eV per formula unit: -1.148
Magnetic moment in Bohr magnetons per cell: 0.001
Energy relative to the lowest polymorph listed for this composition in eV/atom: 0.021

Lattice parameters (Å, degrees): 4.0844 4.0844 4.0844 90.00 90.00 90.00
Atoms (fractional coordinates):
Hg (0.0000, 0.0000, 0.0000)
Li (0.0000, 0.5000, 0.5000)
Li (0.5000, 0.0000, 0.5000)
Li (0.5000, 0.5000, 0.0000)

***

Density functional theory data (GGA-PBEsol) for crystalline Ni2OsRh at its relaxed geometry.

Computed properties:
Space-group type: P2/m
ΔH_f (0 K) in eV per formula unit: 1.211
Magnetic moment in Bohr magnetons per cell: 0.007

Lattice parameters (Å, degrees): 2.5620 4.2689 4.5686 90.00 92.65 90.00
Atoms (fractional coordinates):
Ni (0.2496, 0.0000, 0.2428)
Ni (0.7504, 0.0000, 0.7572)
Rh (0.0000, 0.5000, 0.5000)
Os (0.5000, 0.5000, 0.0000)

***

Density functional theory data (GGA-PBEsol) for crystalline Sr3ScNb at its relaxed geometry.

Computed properties:
Space-group type: Pm-3m
ΔH_f (0 K) in eV per formula unit: 7.471
Magnetic moment in Bohr magnetons per cell: 0.903
Energy relative to the lowest polymorph listed for this composition in eV/atom: 0.393

Lattice parameters (Å, degrees): 5.9581 5.9581 5.9581 90.00 90.00 90.00
Site moments in Bohr magnetons follow the coordinates.
Atoms (fractional coordinates):
Nb (0.5000, 0.5000, 0.5000)  2.83
Sr (0.0000, 0.0000, 0.5000)  -0.14
Sr (0.5000, 0.0000, 0.0000)  -0.14
Sr (0.0000, 0.5000, 0.0000)  -0.14
Sc (0.0000, 0.0000, 0.0000)  -1.30

***

Density functional theory data (GGA-PBEsol) for crystalline In3Cu3SiSe8 at its relaxed geometry.

Computed properties:
ΔE_f (raw) in eV per atom: -0.40
Space-group type: P-4
Magnetic moment in Bohr magnetons per cell: 0.000

Lattice parameters (Å, degrees): 5.7411 5.7411 10.9585 90.00 90.00 90.00
Atoms (fractional coordinates):
In (0.5000, 0.0000, 0.2647)
In (0.0000, 0.5000, 0.7353)
In (0.5000, 0.5000, 0.0000)
Cu (0.5000, 0.0000, 0.7321)
Cu (0.0000, 0.5000, 0.2679)
Cu (0.0000, 0.0000, 0.0000)
Se (0.2527, 0.7830, 0.8670)
Se (0.2649, 0.2334, 0.6003)
Se (0.7351, 0.7666, 0.6003)
Se (0.7473, 0.2170, 0.8670)
Se (0.2170, 0.2527, 0.1330)
Se (0.7666, 0.2649, 0.3997)
Se (0.2334, 0.7351, 0.3997)
Se (0.7830, 0.7473, 0.1330)
Si (0.0000, 0.0000, 0.5000)

***

Density functional theory data (GGA-PBEsol) for crystalline Tc5Os at its relaxed geometry.

Computed properties:
Space-group type: Cm
ΔH_f (0 K) in eV per formula unit: -0.245
Magnetic moment in Bohr magnetons per cell: 0.001
Energy relative to the lowest polymorph listed for this composition in eV/atom: 0.002

Lattice parameters (Å, degrees): 2.7160 5.1247 6.4213 103.47 90.00 105.37
Atoms (fractional coordinates):
Tc (0.6654, 0.3308, 0.3313)
Tc (0.3902, 0.7804, 0.2787)
Tc (0.3340, 0.6680, 0.6661)
Tc (0.7216, 0.4432, 0.9453)
Tc (0.0559, 0.1117, 0.6120)
Os (0.9995, 0.9991, 0.9997)

***

Density functional theory data (GGA-PBEsol) for crystalline Hg2SbRh at its relaxed geometry.

Computed properties:
ΔE_f (raw) in eV per atom: 0.12
Space-group type: P2/m
Magnetic moment in Bohr magnetons per cell: 0.000

Lattice parameters (Å, degrees): 3.2834 4.6097 5.3140 90.00 90.00 92.88
Atoms (fractional coordinates):
Sb (0.5000, 0.5000, 0.5000)
Hg (0.7546, 0.7562, 0.0000)
Hg (0.2454, 0.2438, 0.0000)
Rh (0.0000, 0.0000, 0.5000)

***

Density functional theory data (GGA-PBEsol) for crystalline Tl2CrCo at its relaxed geometry.

Computed properties:
Space-group type: P4/mmm
ΔH_f (0 K) in eV per formula unit: 2.745
Magnetic moment in Bohr magnetons per cell: 3.755
Energy relative to the lowest polymorph listed for this composition in eV/atom: 0.069

Lattice parameters (Å, degrees): 3.6239 4.3361 4.3361 90.00 90.00 90.00
Site moments in Bohr magnetons follow the coordinates.
Atoms (fractional coordinates):
Tl (0.0000, 0.5000, 0.0000)  -0.04
Tl (0.0000, 0.0000, 0.5000)  -0.04
Cr (0.5000, 0.0000, 0.0000)  3.15
Co (0.5000, 0.5000, 0.5000)  0.52

***

Density functional theory data (GGA-PBEsol) for crystalline Cr3HAu at its relaxed geometry.

Computed properties:
Space-group type: Pm-3m
Magnetic moment in Bohr magnetons per cell: 12.991
Energy relative to the lowest polymorph listed for this composition in eV/atom: 1.809

Lattice parameters (Å, degrees): 4.9663 4.9663 4.9663 90.00 90.00 90.00
Site moments in Bohr magnetons follow the coordinates.
Atoms (fractional coordinates):
Cr (0.0000, 0.0000, 0.5000)  3.83
Cr (0.0000, 0.5000, 0.0000)  3.83
Cr (0.5000, 0.0000, 0.0000)  3.83
H (0.5000, 0.5000, 0.5000)  -0.10
Au (0.0000, 0.0000, 0.0000)  0.18